TcW2Cl | PBE-GGA | optimized geometry

Cell: 5.0781 5.0781 4.5241 Å, 90.19 90.19 33.87°
Closest atoms and distances in Å follow each position.
Element x y z (fractional)
Tc  0.0000  0.0000  0.0000  1 Cl 2.43, 2 W 2.62
W  0.4370  0.4370  0.4573  1 Cl 2.51, 2 Tc 2.62, 2 W 2.81
W  0.7230  0.7230  0.1977  2 Cl 2.40
Cl  0.2280  0.2280  0.7804  3 W 2.40-2.51, 1 Tc 2.43

Computed properties:
The calculation puts the energy above the most stable polymorph in this dataset at 350.3 meV/atom. For the formation energy without anion corrections, the calculation gives 0.714 eV per atom. As for the space group: No. 8.


KReIr2Ru | PBE-GGA | optimized geometry

Cell: 4.5454 4.5454 4.4993 Å, 90.00 90.00 90.00°
Closest atoms and distances in Å follow each position.
Element x y z (fractional)
K  0.0000  0.0000  0.0000  2 Re 2.25, 4 Ir 2.27
Re  0.0000  0.0000  0.5000  2 K 2.25
Ir  0.0000  0.5000  0.0000  2 K 2.27
Ir  0.5000  0.0000  0.0000  2 K 2.27
Ru  0.5000  0.5000  0.5000  8 Ir 3.20, 4 Re 3.21

Computed properties:
As for the formation energy: 3.6357 eV per atom. As for the space group: No. 123.


LaGa3Rh3 | PBE-GGA | optimized geometry

Cell: 6.7323 6.7323 6.7323 Å, 90.00 90.00 90.00°
Closest atoms and distances in Å follow each position.
Element x y z (fractional)
La  0.0000  0.0000  0.0000  12 Rh 3.76, 12 Ga 3.76
La  0.5000  0.5000  0.5000  12 Rh 3.76, 12 Ga 3.76
Ga  0.0000  0.2500  0.5000  4 Rh 2.38
Ga  0.0000  0.7500  0.5000  4 Rh 2.38
Ga  0.2500  0.5000  0.0000  4 Rh 2.38
Ga  0.5000  0.0000  0.2500  4 Rh 2.38
Ga  0.5000  0.0000  0.7500  4 Rh 2.38
Ga  0.7500  0.5000  0.0000  4 Rh 2.38
Rh  0.0000  0.5000  0.2500  4 Ga 2.38
Rh  0.0000  0.5000  0.7500  4 Ga 2.38
Rh  0.2500  0.0000  0.5000  4 Ga 2.38
Rh  0.5000  0.2500  0.0000  4 Ga 2.38
Rh  0.5000  0.7500  0.0000  4 Ga 2.38
Rh  0.7500  0.0000  0.5000  4 Ga 2.38

Computed properties:
The calculation puts the energy above the most stable polymorph in this dataset at 219.8 meV/atom. As for the formation energy: -0.3348 eV per atom. As for the space group: No. 223.


Cu2Br2Cl7 | PBE-GGA | optimized geometry

Cell: 9.5419 9.5419 10.9301 Å, 110.38 110.38 100.77°
Closest atoms and distances in Å follow each position.
Element x y z (fractional)
Cu  0.0866  0.2619  0.2458  4 Cl 2.15-2.31
Cu  0.2619  0.0866  0.7458  4 Cl 2.15-2.31
Cu  0.7381  0.9134  0.2542  4 Cl 2.15-2.31
Cu  0.9134  0.7381  0.7542  4 Cl 2.15-2.31
Br  0.2961  0.6770  0.9650  2 Cl 2.36-2.45
Br  0.3230  0.7039  0.5350  2 Cl 2.36-2.45
Br  0.6770  0.2961  0.4650  2 Cl 2.36-2.45
Br  0.7039  0.3230  0.0350  2 Cl 2.36-2.45
Cl  0.0383  0.9617  0.7500  2 Cu 2.26
Cl  0.0781  0.6079  0.7277  1 Cu 2.21, 1 Br 2.45
Cl  0.1267  0.2210  0.6699  1 Cu 2.15
Cl  0.2210  0.1267  0.1699  1 Cu 2.15
Cl  0.2933  0.4916  0.3245  1 Cu 2.31, 1 Br 2.36
Cl  0.3921  0.9219  0.7723  1 Cu 2.21, 1 Br 2.45
Cl  0.4916  0.2933  0.8245  1 Cu 2.31, 1 Br 2.36
Cl  0.5084  0.7067  0.1755  1 Cu 2.31, 1 Br 2.36
Cl  0.6079  0.0781  0.2277  1 Cu 2.21, 1 Br 2.45
Cl  0.7067  0.5084  0.6755  1 Cu 2.31, 1 Br 2.36
Cl  0.7790  0.8733  0.8301  1 Cu 2.15
Cl  0.8733  0.7790  0.3301  1 Cu 2.15
Cl  0.9219  0.3921  0.2723  1 Cu 2.21, 1 Br 2.45
Cl  0.9617  0.0383  0.2500  2 Cu 2.26

Computed properties:
For the formation energy without anion corrections, the calculation gives -0.216 eV per atom. As for the space group: No. 15.


NdHoSc2 | PBE-GGA | optimized geometry

Cell: 4.9479 4.9479 4.6583 Å, 90.00 90.00 90.00°
Closest atoms and distances in Å follow each position.
Element x y z (fractional)
Nd  0.0000  0.0000  0.0000  8 Sc 3.40, 4 Ho 3.50
Ho  0.5000  0.5000  0.0000  8 Sc 3.40, 4 Nd 3.50
Sc  0.0000  0.5000  0.5000  4 Ho 3.40, 4 Nd 3.40, 4 Sc 3.50
Sc  0.5000  0.0000  0.5000  4 Ho 3.40, 4 Nd 3.40, 4 Sc 3.50

Computed properties:
The calculation puts the energy above the most stable polymorph in this dataset at 0.7 meV/atom. As for the formation energy: 0.0562 eV per atom. As for the space group: No. 123.


LaCeZnPb | PBE-GGA | optimized geometry

Cell: 5.4578 5.4578 5.4578 Å, 60.00 60.00 60.00°
Closest atoms and distances in Å follow each position.
Element x y z (fractional)
La  0.0000  0.0000  0.0000  4 Zn 3.34, 4 Pb 3.34
Ce  0.5000  0.5000  0.5000  4 Zn 3.34, 4 Pb 3.34
Zn  0.7500  0.7500  0.7500  4 La 3.34, 4 Ce 3.34
Pb  0.2500  0.2500  0.2500  4 La 3.34, 4 Ce 3.34

Computed properties:
As for the formation energy: -0.3315 eV per atom. As for the space group: No. 216.


Na3CaBe | PBE-GGA | optimized geometry

Cell: 5.4911 5.4911 5.4911 Å, 90.00 90.00 90.00°
Closest atoms and distances in Å follow each position.
Element x y z (fractional)
Na  0.0000  0.0000  0.5000  2 Be 2.75
Na  0.0000  0.5000  0.0000  2 Be 2.75
Na  0.5000  0.0000  0.0000  2 Be 2.75
Ca  0.5000  0.5000  0.5000  12 Na 3.88
Be  0.0000  0.0000  0.0000  6 Na 2.75

Computed properties:
The calculation puts the energy above the most stable polymorph in this dataset at 0.0 meV/atom. As for the formation energy: 0.5172 eV per atom. As for the space group: No. 221.


Ba5In | PBE-GGA | optimized geometry

Cell: 7.7513 7.7513 7.7513 Å, 60.00 60.00 60.00°
Closest atoms and distances in Å follow each position.
Element x y z (fractional)
Ba  0.0000  0.0000  0.0000  12 Ba 4.55, 4 In 4.75
Ba  0.1295  0.6235  0.6235  6 Ba 3.83-3.92
Ba  0.6235  0.1295  0.6235  6 Ba 3.83-3.92
Ba  0.6235  0.6235  0.1295  6 Ba 3.83-3.92
Ba  0.6235  0.6235  0.6235  6 Ba 3.83-3.92
In  0.2500  0.2500  0.2500  16 Ba 4.54-4.75

Computed properties:
The calculation puts the energy above the most stable polymorph in this dataset at 353.9 meV/atom. As for the formation energy: 0.2176 eV per atom. As for the space group: No. 216.


Ni4As | PBE-GGA | optimized geometry

Cell: 4.3351 4.3351 4.3351 Å, 100.69 100.69 128.99°
Closest atoms and distances in Å follow each position.
Element x y z (fractional)
Ni  0.1077  0.3062  0.4139  3 As 2.42-2.59, 9 Ni 2.45-2.55
Ni  0.3062  0.8923  0.1985  3 As 2.42-2.59, 9 Ni 2.45-2.55
Ni  0.6938  0.1077  0.8015  3 As 2.42-2.59, 9 Ni 2.45-2.55
Ni  0.8923  0.6938  0.5861  3 As 2.42-2.59, 9 Ni 2.45-2.55
As  0.5000  0.5000  0.0000  12 Ni 2.42-2.59

Computed properties:
The calculation puts the energy above the most stable polymorph in this dataset at 0.0 meV/atom. As for the formation energy: -0.1072 eV per atom. As for the space group: No. 87.


CeHo3Er2S6 | PBE-GGA | optimized geometry

Cell: 8.7174 8.7174 7.8340 Å, 102.88 102.88 25.77°
Closest atoms and distances in Å follow each position.
Element x y z (fractional)
Ce  0.0000  0.0000  0.0000  6 S 2.81-2.83
Ho  0.0000  0.0000  0.5000  6 S 2.71-2.78
Ho  0.3361  0.3361  0.1652  6 S 2.73-2.79
Ho  0.6639  0.6639  0.8348  6 S 2.73-2.79
Er  0.3353  0.3353  0.6712  6 S 2.71-2.77
Er  0.6647  0.6647  0.3288  6 S 2.71-2.77
S  0.1683  0.1683  0.5821  3 Er 2.76-2.77, 3 Ho 2.78-2.79
S  0.1712  0.1712  0.0869  3 Ho 2.73-2.75, 2 Er 2.73, 1 Ce 2.83
S  0.4990  0.4990  0.7400  3 Ho 2.71-2.73, 1 Er 2.71, 2 Ce 2.81
S  0.5010  0.5010  0.2600  3 Ho 2.71-2.73, 1 Er 2.71, 2 Ce 2.81
S  0.8288  0.8288  0.9131  3 Ho 2.73-2.75, 2 Er 2.73, 1 Ce 2.83
S  0.8317  0.8317  0.4179  3 Er 2.76-2.77, 3 Ho 2.78-2.79

Computed properties:
For the formation energy without anion corrections, the calculation gives -1.982 eV per atom. As for the space group: No. 12.


Ce3Th2ScAs6 | PBE-GGA | optimized geometry

Cell: 9.3694 9.3694 8.3771 Å, 103.24 103.24 25.86°
Closest atoms and distances in Å follow each position.
Element x y z (fractional)
Ce  0.0000  0.0000  0.0000  6 As 2.96-3.04
Ce  0.3323  0.3323  0.6653  6 As 2.94-3.05
Ce  0.6677  0.6677  0.3347  6 As 2.94-3.05
Th  0.3359  0.3359  0.1705  6 As 2.95-3.01
Th  0.6641  0.6641  0.8295  6 As 2.95-3.01
Sc  0.0000  0.0000  0.5000  6 As 2.85-2.88
As  0.1606  0.1606  0.5771  1 Sc 2.85, 3 Ce 2.94-3.05, 2 Th 2.97
As  0.1666  0.1666  0.0849  3 Ce 2.96, 3 Th 2.99-3.01
As  0.4978  0.4978  0.7353  2 Sc 2.88, 3 Ce 2.94-3.04, 1 Th 2.95
As  0.5022  0.5022  0.2647  2 Sc 2.88, 3 Ce 2.94-3.04, 1 Th 2.95
As  0.8334  0.8334  0.9151  3 Ce 2.96, 3 Th 2.99-3.01
As  0.8394  0.8394  0.4229  1 Sc 2.85, 3 Ce 2.94-3.05, 2 Th 2.97

Computed properties:
As for the formation energy: -1.3973 eV per atom. As for the space group: No. 12.


ZrCdPb2 | PBE-GGA | optimized geometry

Cell: 6.7898 6.7898 6.7898 Å, 39.30 39.30 39.30°
Closest atoms and distances in Å follow each position.
Element x y z (fractional)
Zr  0.0000  0.0000  0.0000  6 Pb 3.01-3.04, 1 Cd 3.24
Cd  0.8274  0.8274  0.8274  6 Pb 3.07-3.15, 1 Zr 3.24
Pb  0.4105  0.4105  0.4105  3 Zr 3.01, 3 Cd 3.07, 1 Pb 3.30
Pb  0.5864  0.5864  0.5864  3 Zr 3.04, 3 Cd 3.15, 1 Pb 3.30

Computed properties:
As for the formation energy: 0.1786 eV per atom. As for the space group: No. 160.